A PBEsol-optimized structure of Cr3RuCl, computed with SCAN.

It has space group Pm-3m (No. 221), with a = 4.681 Å, b = 4.681 Å, c = 4.681 Å, α = 90.00°, β = 90.00° and γ = 90.00°. Symmetry generates all atoms from Cr at (0.000, 0.000, 0.500), Ru at (0.000, 0.000, 0.000) and Cl at (0.500, 0.500, 0.500).

For the total energy, the calculation gives -18.780 eV/atom. The value obtained for the raw formation energy is 4.060 eV/f.u. Its excess energy over the best structure of this formula in the dataset is 0 meV per atom. The total magnetization is 11.6 μB/f.u.

A PBEsol-optimized structure of CrRuCl3, computed with SCAN.

It has space group Pm-3m (No. 221), with a = 4.694 Å, b = 4.694 Å, c = 4.694 Å, α = 90.00°, β = 90.00° and γ = 90.00°. Symmetry generates all atoms from Cr at (0.000, 0.000, 0.000), Ru at (0.500, 0.500, 0.500) and Cl at (0.000, 0.500, 0.500).

For the total energy, the calculation gives -15.518 eV/atom. The value obtained for the raw formation energy is -0.443 eV/f.u. The total magnetization is 4.6 μB/f.u.

A PBEsol-optimized structure of CrSCl2, computed with SCAN.

It has space group I-42d (No. 122), with a = 8.787 Å, b = 8.787 Å, c = 4.371 Å, α = 90.00°, β = 90.00° and γ = 90.00°. Symmetry generates all atoms from Cr at (0.000, 0.000, 0.000), S at (0.000, 0.000, 0.500) and Cl at (0.095, 0.250, 0.125).

For the total energy, the calculation gives -11.587 eV/atom. The value obtained for the raw formation energy is -2.378 eV/f.u. The total magnetization is 2.0 μB/f.u.

A PBEsol-optimized structure of CrTeSCl2, computed with SCAN.

It has space group P4/mmm (No. 123), with a = 4.558 Å, b = 4.558 Å, c = 4.939 Å, α = 90.00°, β = 90.00° and γ = 90.00°. Symmetry generates all atoms from Cr at (0.000, 0.000, 0.000), Te at (0.500, 0.500, 0.500), S at (0.000, 0.000, 0.500) and Cl at (0.000, 0.500, 0.000).

For the total energy, the calculation gives -16.628 eV/atom. The value obtained for the raw formation energy is -1.918 eV/f.u. The total magnetization is 2.5 μB/f.u.

A PBEsol-optimized structure of CrTeS2Cl, computed with SCAN.

It has space group P4/mmm (No. 123), with a = 5.024 Å, b = 5.024 Å, c = 5.109 Å, α = 90.00°, β = 90.00° and γ = 90.00°. Symmetry generates all atoms from Cr at (0.000, 0.000, 0.000), Te at (0.500, 0.500, 0.500), S at (0.000, 0.500, 0.500) and Cl at (0.500, 0.500, 0.000).

For the total energy, the calculation gives -16.237 eV/atom. The value obtained for the raw formation energy is 1.683 eV/f.u. The total magnetization is 4.7 μB/f.u.

A PBEsol-optimized structure of TlCrSCl2, computed with SCAN.

It has space group P4/mmm (No. 123), with a = 5.183 Å, b = 5.183 Å, c = 5.068 Å, α = 90.00°, β = 90.00° and γ = 90.00°. Symmetry generates all atoms from Tl at (0.000, 0.000, 0.000), Cr at (0.500, 0.500, 0.500), S at (0.000, 0.000, 0.500) and Cl at (0.000, 0.500, 0.000).

For the total energy, the calculation gives -23.253 eV/atom. The value obtained for the raw formation energy is 0.062 eV/f.u. The total magnetization is 4.7 μB/f.u.